Below is La15CeHo4 after structural relaxation, with properties calculated at the PBE level.

Lattice parameters (Å, degrees): 5.2055 5.2055 26.0266 90.00 90.00 90.00
Last column: nearest neighbours and their distance in Å.
Fractional positions:
La (0.5000, 0.5000, 0.0000)  8 La 3.65, 4 Ce 3.68
La (0.5000, 0.5000, 0.2009)  8 La 3.66-3.73, 4 Ho 3.68
La (0.5000, 0.5000, 0.4006)  8 La 3.67-3.70, 4 Ho 3.68
La (0.5000, 0.5000, 0.5994)  8 La 3.67-3.70, 4 Ho 3.68
La (0.5000, 0.5000, 0.7991)  8 La 3.66-3.73, 4 Ho 3.68
La (0.5000, 0.0000, 0.0982)  8 La 3.65-3.73, 2 Ce 3.65, 2 Ho 3.72
La (0.5000, 0.0000, 0.2997)  8 La 3.66-3.70, 4 Ho 3.67-3.68
La (0.5000, 0.0000, 0.5000)  8 La 3.67-3.68, 4 Ho 3.68
La (0.5000, 0.0000, 0.7003)  8 La 3.66-3.70, 4 Ho 3.67-3.68
La (0.5000, 0.0000, 0.9018)  8 La 3.65-3.73, 2 Ce 3.65, 2 Ho 3.72
La (0.0000, 0.5000, 0.0982)  8 La 3.65-3.73, 2 Ce 3.65, 2 Ho 3.72
La (0.0000, 0.5000, 0.2997)  8 La 3.66-3.70, 4 Ho 3.67-3.68
La (0.0000, 0.5000, 0.5000)  8 La 3.67-3.68, 4 Ho 3.68
La (0.0000, 0.5000, 0.7003)  8 La 3.66-3.70, 4 Ho 3.67-3.68
La (0.0000, 0.5000, 0.9018)  8 La 3.65-3.73, 2 Ce 3.65, 2 Ho 3.72
Ce (0.0000, 0.0000, 0.0000)  12 La 3.65-3.68
Ho (0.0000, 0.0000, 0.2001)  12 La 3.67-3.72
Ho (0.0000, 0.0000, 0.3999)  12 La 3.68
Ho (0.0000, 0.0000, 0.6001)  12 La 3.68
Ho (0.0000, 0.0000, 0.7999)  12 La 3.67-3.72

Output
Its total DFT energy (no corrections) is -4.885 eV per atom. Its space group is No. 123. The spin magnetization is 0.0673 μB per atom. For the formation energy, the calculation gives 0.02 eV/atom.